Material: YCuMo2
Method: DFT, PBE-GGA
State: optimized geometry

a = 4.7604 Å, b = 4.7604 Å, c = 5.2035 Å
α = 108.25°, β = 108.25°, γ = 42.70°
Closest atoms and distances in Å follow each position.
Sites, in units of the cell vectors:
Y 0.0000 0.0000 0.0000  3 Cu 2.91-3.00, 7 Mo 3.01-3.16
Cu 0.7649 0.7649 0.3000  5 Mo 2.65-2.83, 2 Y 2.91
Mo 0.2196 0.2196 0.6664  2 Mo 2.53, 2 Cu 2.70
Mo 0.5017 0.5017 0.4923  2 Mo 2.53, 2 Cu 2.65

Formation energy, kJ per mole of atoms: 34.3
Total magnetic moment, μB/atom: 0.00
N(E_F), states/eV/atom: 0.66
Calculated total energy, eV for the cell shown: -30.80

***

Material: ZnCuMo2
Method: DFT, PBE-GGA
State: optimized geometry

a = 4.7192 Å, b = 4.7192 Å, c = 2.6037 Å
α = 90.00°, β = 90.00°, γ = 90.00°
Closest atoms and distances in Å follow each position.
Sites, in units of the cell vectors:
Zn 0.0000 0.0000 0.0000  2 Zn 2.60, 8 Mo 2.69
Cu 0.5000 0.5000 0.0000  2 Cu 2.60, 8 Mo 2.69
Mo 0.0000 0.5000 0.5000  2 Mo 2.60, 4 Cu 2.69, 4 Zn 2.69
Mo 0.5000 0.0000 0.5000  2 Mo 2.60, 4 Cu 2.69, 4 Zn 2.69

Formation energy, kJ per mole of atoms: 33.0
Total magnetic moment, μB/atom: 0.00
N(E_F), states/eV/atom: 0.81
Calculated total energy, eV for the cell shown: -25.67

***

Material: ZnCuMo2
Method: DFT, PBE-GGA
State: optimized geometry

a = 2.6341 Å, b = 4.1915 Å, c = 5.2399 Å
α = 90.00°, β = 90.00°, γ = 90.00°
Closest atoms and distances in Å follow each position.
Sites, in units of the cell vectors:
Zn 0.0000 0.0000 0.0000  2 Cu 2.62, 2 Zn 2.63, 8 Mo 2.81
Cu 0.0000 0.0000 0.5000  2 Zn 2.62, 2 Cu 2.63, 8 Mo 2.79
Mo 0.5000 0.5000 0.2537  4 Mo 2.58-2.66, 4 Cu 2.79, 4 Zn 2.81
Mo 0.5000 0.5000 0.7463  4 Mo 2.58-2.66, 4 Cu 2.79, 4 Zn 2.81

Formation energy, kJ per mole of atoms: 14.4
Total magnetic moment, μB/atom: 0.00
N(E_F), states/eV/atom: 0.47
Calculated total energy, eV for the cell shown: -26.43

***

Copy entry 2 word for word.
Material: ZnCuMo2
Method: DFT, PBE-GGA
State: optimized geometry

a = 4.7192 Å, b = 4.7192 Å, c = 2.6037 Å
α = 90.00°, β = 90.00°, γ = 90.00°
Closest atoms and distances in Å follow each position.
Sites, in units of the cell vectors:
Zn 0.0000 0.0000 0.0000  2 Zn 2.60, 8 Mo 2.69
Cu 0.5000 0.5000 0.0000  2 Cu 2.60, 8 Mo 2.69
Mo 0.0000 0.5000 0.5000  2 Mo 2.60, 4 Cu 2.69, 4 Zn 2.69
Mo 0.5000 0.0000 0.5000  2 Mo 2.60, 4 Cu 2.69, 4 Zn 2.69

Formation energy, kJ per mole of atoms: 33.0
Total magnetic moment, μB/atom: 0.00
N(E_F), states/eV/atom: 0.81
Calculated total energy, eV for the cell shown: -25.67

***

Please write out number 2 again, unchanged.
Material: ZnCuMo2
Method: DFT, PBE-GGA
State: optimized geometry

a = 4.7192 Å, b = 4.7192 Å, c = 2.6037 Å
α = 90.00°, β = 90.00°, γ = 90.00°
Closest atoms and distances in Å follow each position.
Sites, in units of the cell vectors:
Zn 0.0000 0.0000 0.0000  2 Zn 2.60, 8 Mo 2.69
Cu 0.5000 0.5000 0.0000  2 Cu 2.60, 8 Mo 2.69
Mo 0.0000 0.5000 0.5000  2 Mo 2.60, 4 Cu 2.69, 4 Zn 2.69
Mo 0.5000 0.0000 0.5000  2 Mo 2.60, 4 Cu 2.69, 4 Zn 2.69

Formation energy, kJ per mole of atoms: 33.0
Total magnetic moment, μB/atom: 0.00
N(E_F), states/eV/atom: 0.81
Calculated total energy, eV for the cell shown: -25.67

***

What is the formation energy in the second record? 33.0 kJ per mole of atoms